Entry 1:
18
Lattice="4.874 0.142 0.504 0.614 7.745 2.421 0.246 0.050 8.134" Properties=species:S:1:pos:R:3 comment="PBE Li2MnAu6, optimized geometry" ef_kj_per_mol_fu=-235 space_group="C2/c (15)" vol_a3_per_atom=16.94 pbc="T T T"
Li 2.555 4.303 7.964
Li 0.651 1.647 4.265
Li 3.180 3.634 3.095
Li 5.083 6.289 6.794
Mn 1.512 1.064 7.533
Mn 4.223 6.872 3.526
Au 2.842 5.359 5.437
Au 0.545 4.384 3.976
Au 2.892 2.578 5.622
Au 5.189 3.553 7.083
Au 3.306 0.838 3.407
Au 4.770 5.195 9.370
Au 2.428 7.099 7.652
Au 0.964 2.742 1.689
Au 1.951 5.978 2.118
Au 1.623 7.680 4.389
Au 3.783 1.959 8.941
Au 4.111 0.257 6.670

***

Entry 2:
12
Lattice="4.400 -0.196 -0.002 -0.167 5.814 -0.007 0.004 0.008 7.141" Properties=species:S:1:pos:R:3 comment="PBE PrGaAg2F8, optimized geometry" space_group="P2/m (10)" e_form_raw_kj_per_mol_atoms=-240.56 vol_a3_per_atom=15.20 pbc="T T T"
Pr 0.002 0.004 3.570
Ga 0.000 0.000 0.000
Ag 2.119 2.815 5.529
Ag 2.117 2.811 1.603
F 0.369 4.663 1.530
F 2.701 4.575 7.134
F 3.866 0.959 1.532
F 3.868 0.963 5.602
F 1.535 1.051 -0.002
F 0.371 4.667 5.600
F 2.252 4.372 3.564
F 1.985 1.255 3.568

***

Entry 3:
4
Lattice="3.897 0.000 0.000 0.000 2.379 0.006 0.000 1.007 4.560" Properties=species:S:1:pos:R:3 comment="PBE MnBeCr2, optimized geometry" ef_kj_per_mol_fu=12 space_group="P2/m (10)" vol_a3_per_atom=10.56 pbc="T T T"
Cr 0.000 1.052 4.523
Cr 0.000 1.648 2.319
Mn 1.948 0.846 1.141
Be 1.948 2.539 3.424

***

Entry 4:
5
Lattice="5.192 0.000 0.000 0.000 4.614 0.000 0.000 0.000 5.192" Properties=species:S:1:pos:R:3 comment="PBE CaHf2MnTl, optimized geometry" ef_kj_per_mol_fu=826 space_group="P4/mmm (123)" relative_energy_mev_per_atom=0 vol_a3_per_atom=24.88 pbc="T T T"
Tl 2.596 2.307 2.596
Mn 0.000 2.307 0.000
Hf 0.000 0.000 2.596
Hf 2.596 0.000 0.000
Ca 0.000 0.000 0.000

***

Entry 5:
22
Lattice="7.653 0.000 -2.706 -3.827 6.628 -2.706 0.000 0.000 8.117" Properties=species:S:1:pos:R:3 comment="PBE Y3Si2Pd6, optimized geometry" space_group="Im-3m (229)" e_form_raw_kj_per_mol_atoms=-83.10 vol_a3_per_atom=18.72 pbc="T T T"
Y 5.460 0.000 3.861
Y 2.193 0.000 1.551
Y -1.097 1.900 1.551
Y -2.730 4.728 3.861
Y 1.097 1.900 -1.551
Y 2.730 4.728 -3.861
Si -1.913 3.314 -1.353
Si 3.827 0.000 -1.353
Si 0.000 0.000 4.059
Si 1.913 3.314 1.353
Pd 3.827 2.353 2.706
Pd 5.185 0.000 0.785
Pd 2.468 0.000 4.627
Pd 0.000 4.275 0.000
Pd -2.592 4.490 0.785
Pd 3.703 2.138 0.000
Pd 0.124 4.490 2.706
Pd -1.234 2.138 4.627
Pd -0.124 4.490 -2.706
Pd 2.592 4.490 -0.785
Pd 1.234 2.138 3.491
Pd 3.951 2.138 -2.706

***

Entry 6:
4
Lattice="-2.559 -0.799 3.515 -4.184 -1.310 -0.564 -1.170 -4.147 0.985" Properties=species:S:1:pos:R:3 comment="PBE MgOs, optimized geometry" ef_kj_per_mol_fu=37 space_group="Fd-3m (227)" vol_a3_per_atom=15.27 pbc="T T T"
Mg -1.978 -1.564 0.984
Mg -3.956 -3.128 1.968
Os 0.000 0.000 0.000
Os -5.934 -4.692 2.952

***

Entry 7:
40
Lattice="11.032 0.000 0.000 0.000 11.032 0.000 0.000 0.000 5.786" Properties=species:S:1:pos:R:3 comment="PBE Pr2Re3Si5, optimized geometry" space_group="P4/mnc (128)" e_form_raw_kj_per_mol_atoms=-53.20 vol_a3_per_atom=17.61 pbc="T T T"
Pr 6.367 8.122 2.893
Pr 4.666 2.911 2.893
Pr 0.850 8.427 0.000
Pr 10.182 2.606 0.000
Pr 2.911 6.367 2.893
Pr 8.122 4.666 2.893
Pr 2.606 0.850 0.000
Pr 8.427 10.182 0.000
Re 9.648 9.392 2.893
Re 1.385 1.641 2.893
Re 4.132 7.157 0.000
Re 6.901 3.875 0.000
Re 1.641 9.648 2.893
Re 9.392 1.385 2.893
Re 3.875 4.132 0.000
Re 7.157 6.901 0.000
Re 5.516 0.000 1.446
Re 0.000 5.516 4.339
Re 0.000 5.516 1.446
Re 5.516 0.000 4.339
Si 7.404 1.888 1.446
Si 3.628 9.144 1.446
Si 1.888 3.628 4.339
Si 9.144 7.404 4.339
Si 9.144 7.404 1.446
Si 1.888 3.628 1.446
Si 7.404 1.888 4.339
Si 3.628 9.144 4.339
Si 5.516 5.516 1.342
Si 0.000 0.000 4.235
Si 5.516 5.516 4.444
Si 0.000 0.000 1.551
Si 7.530 10.776 2.893
Si 3.502 0.256 2.893
Si 2.014 5.772 0.000
Si 9.019 5.260 0.000
Si 0.256 7.530 2.893
Si 10.776 3.502 2.893
Si 5.260 2.014 0.000
Si 5.772 9.019 0.000

***

Entry 8:
5
Lattice="4.354 0.000 0.000 0.000 6.276 0.000 0.000 0.000 4.354" Properties=species:S:1:pos:R:3 comment="PBE Rb2NbMoH, optimized geometry" total_energy_ev_per_atom=-3.51 space_group="P4/mmm (123)" vol_a3_per_atom=23.79 pbc="T T T"
H 0.000 0.000 0.000
Mo 2.177 3.138 2.177
Nb 0.000 3.138 0.000
Rb 0.000 0.000 2.177
Rb 2.177 0.000 0.000